--- w ---
LiScAs2 | the Alexandria database | PBE | optimized geometry; magnetization = 0.0 Bohr magnetons per cell; space group = No. 10
1.0
-3.652 0.483 0.836
-0.754 -0.800 -2.834
-1.228 -6.962 -1.343
Li As Sc
1 2 1
Cartesian
-2.321 -1.699 -0.626
-0.998 -3.891 -2.110
-1.976 -7.751 -4.156
-3.313 -5.580 -2.715

--- x ---
LiScAs2 | the Alexandria database | PBE | optimized geometry; magnetization = 0.0 Bohr magnetons per cell; space group = No. 123
1.0
-1.067 -1.315 -2.617
-2.460 -1.110 1.560
-3.883 6.347 -1.606
As Sc Li
2 1 1
Cartesian
-1.949 3.185 -0.806
-3.876 6.336 -1.603
-4.675 3.548 -1.733
-2.734 0.374 -0.930

Most stable = w

--- w ---
LiScAs2 | the Alexandria database | PBE | optimized geometry; magnetization = 0.0 Bohr magnetons per cell; space group = No. 139
1.0
4.845 -0.001 0.000
0.784 4.781 0.000
-2.815 -2.390 3.137
As Sc Li
2 1 1
Cartesian
0.000 0.000 0.000
2.815 2.390 0.000
2.423 -0.001 1.569
0.392 2.391 1.569

--- x ---
LiScAs2 | the Alexandria database | PBE | optimized geometry; magnetization = 0.1 Bohr magnetons per cell; space group = No. 123
1.0
4.935 0.000 0.000
0.000 2.988 -0.002
0.000 0.003 4.940
Sc As Li
1 2 1
Cartesian
2.468 1.869 4.322
2.468 0.375 1.853
0.000 0.376 4.321
0.000 1.870 1.851

--- y ---
LiScAs2 | the Alexandria database | PBE | optimized geometry; magnetization = 0.0 Bohr magnetons per cell; space group = No. 99
1.0
-2.788 -0.768 -0.393
0.778 -1.667 -2.266
1.243 -7.585 6.007
As Li Sc
2 1 1
Cartesian
-0.627 -3.524 0.497
1.186 -7.240 5.733
0.604 -3.686 2.919
-0.066 -6.948 3.208

--- z ---
LiScAs2 | the Alexandria database | PBE | optimized geometry; magnetization = 0.0 Bohr magnetons per cell; space group = No. 99
1.0
-2.726 2.588 0.530
-2.532 -2.341 -1.590
-1.087 -2.146 4.893
As Sc Li
2 1 1
Cartesian
-2.993 -0.595 1.107
-0.994 -1.962 4.474
-3.534 -1.663 3.543
-0.455 -0.898 2.048

Most stable = w

--- w ---
LiScAs2 | the Alexandria database | PBE | optimized geometry; magnetization = 0.0 Bohr magnetons per cell; space group = No. 122
1.0
-3.381 4.253 -4.660
-6.218 -3.138 1.648
-5.229 2.508 0.586
As Sc Li
4 2 2
Cartesian
-4.128 2.805 -2.463
-7.650 2.234 -0.656
-5.686 -0.714 0.498
-12.192 2.922 -2.230
-6.705 3.659 -2.790
0.000 0.000 0.000
-4.800 0.558 -1.506
-8.124 -0.036 0.364

--- x ---
LiScAs2 | the Alexandria database | PBE | optimized geometry; magnetization = 0.0 Bohr magnetons per cell; space group = No. 65
1.0
-1.951 2.481 0.451
-1.123 -1.216 -2.725
-4.706 -4.413 3.910
As Li Sc
2 1 1
Cartesian
-2.370 -2.222 1.969
-4.689 -4.397 3.896
-2.714 -0.471 -0.159
-5.067 -2.677 1.796

Most stable = x